## i
A plane-wave DFT calculation with GGA-PBE was carried out for a relaxed structure of CaTc2Ag.

Unit cell a=5.524 b=9.640 c=2.631 alpha=90.00 beta=90.00 gamma=90.00
Element x y z (fractional)
Ca (0.000, 0.000, 0.000)
Ca (0.500, 0.500, 0.000)
Tc (0.250, 0.250, 0.500)
Tc (0.250, 0.750, 0.500)
Tc (0.750, 0.250, 0.500)
Tc (0.750, 0.750, 0.500)
Ag (0.000, 0.500, 0.000)
Ag (0.500, 0.000, 0.000)

Properties
Total magnetic moment = 0.0 μB/f.u.
Calculated volume = 17.512 Å³/atom

=====

## ii
A plane-wave DFT calculation with GGA-PBE was carried out for a relaxed structure of CaTc2Ag.

Unit cell a=5.481 b=9.980 c=2.701 alpha=90.00 beta=108.66 gamma=90.00
Element x y z (fractional)
Ca (0.000, 0.000, 0.000)
Ca (0.500, 0.500, 0.000)
Tc (0.250, 0.250, 0.500)
Tc (0.250, 0.750, 0.500)
Tc (0.750, 0.250, 0.500)
Tc (0.750, 0.750, 0.500)
Ag (0.000, 0.500, 0.000)
Ag (0.500, 0.000, 0.000)

Properties
Total magnetic moment = 0.0 μB/f.u.
Calculated volume = 17.499 Å³/atom

=====

## iii
A plane-wave DFT calculation with GGA-PBE was carried out for a relaxed structure of CaTc2Ag.

Unit cell a=2.782 b=5.106 c=5.108 alpha=90.00 beta=96.95 gamma=90.00
Element x y z (fractional)
Ca (0.000, 0.000, 0.000)
Tc (0.334, 0.500, 0.767)
Tc (0.666, 0.500, 0.233)
Ag (0.500, 0.000, 0.500)

Properties
Total magnetic moment = 0.0 μB/f.u.
Calculated volume = 18.003 Å³/atom

=====

## iv
A plane-wave DFT calculation with GGA-PBE was carried out for a relaxed structure of CaTc2Ag.

Unit cell a=3.842 b=3.842 c=9.827 alpha=90.00 beta=90.00 gamma=90.00
Element x y z (fractional)
Ca (0.000, 0.000, 0.000)
Ca (0.500, 0.500, 0.500)
Tc (0.000, 0.500, 0.250)
Tc (0.000, 0.500, 0.750)
Tc (0.500, 0.000, 0.250)
Tc (0.500, 0.000, 0.750)
Ag (0.000, 0.000, 0.500)
Ag (0.500, 0.500, 0.000)

Properties
Total magnetic moment = 0.0 μB/f.u.
Calculated volume = 18.131 Å³/atom

=====

Which of them is most stable, and which least? Most stable: iii; least stable: iv.

=====

## i
A plane-wave DFT calculation with GGA-PBE was carried out for a relaxed structure of CaTc2Ag.

Unit cell a=2.696 b=2.696 c=9.587 alpha=90.00 beta=90.00 gamma=90.00
Element x y z (fractional)
Ca (0.000, 0.000, 0.000)
Tc (0.500, 0.500, 0.264)
Tc (0.500, 0.500, 0.736)
Ag (0.000, 0.000, 0.500)

Properties
Total magnetic moment = 0.0 μB/f.u.
Calculated volume = 17.418 Å³/atom

=====

## ii
A plane-wave DFT calculation with GGA-PBE was carried out for a relaxed structure of CaTc2Ag.

Unit cell a=3.887 b=4.865 c=8.012 alpha=90.00 beta=90.00 gamma=90.00
Element x y z (fractional)
Ca (0.000, 0.000, 0.000)
Ca (0.500, 0.500, 0.500)
Tc (0.000, 0.000, 0.446)
Tc (0.000, 0.500, 0.770)
Tc (0.500, 0.000, 0.270)
Tc (0.500, 0.500, 0.946)
Ag (0.000, 0.500, 0.226)
Ag (0.500, 0.000, 0.726)

Properties
Total magnetic moment = 0.0 μB/f.u.
Calculated volume = 18.937 Å³/atom

=====

Which of them is most stable, and which least? Most stable: ii; least stable: i.

=====

## i
A plane-wave DFT calculation with GGA-PBE was carried out for a relaxed structure of CaTi3Ag.

Unit cell a=4.707 b=4.707 c=4.707 alpha=90.00 beta=90.00 gamma=90.00
Element x y z (fractional)
Ca (0.000, 0.000, 0.000)
Ti (0.000, 0.000, 0.500)
Ti (0.000, 0.500, 0.000)
Ti (0.500, 0.000, 0.000)
Ag (0.500, 0.500, 0.500)

Properties
Total magnetic moment = 2.7 μB/f.u.
Calculated volume = 20.856 Å³/atom

=====

## ii
A plane-wave DFT calculation with GGA-PBE was carried out for a relaxed structure of CaTi3Ag.

Unit cell a=5.008 b=5.008 c=5.008 alpha=90.00 beta=90.00 gamma=90.00
Element x y z (fractional)
Ca (0.000, 0.000, 0.000)
Ti (0.000, 0.500, 0.500)
Ti (0.500, 0.000, 0.500)
Ti (0.500, 0.500, 0.000)
Ag (0.500, 0.500, 0.500)

Properties
Total magnetic moment = 1.3 μB/f.u.
Calculated volume = 25.117 Å³/atom

=====

Which of them is most stable, and which least? Most stable: ii; least stable: i.

=====

## i
A plane-wave DFT calculation with GGA-PBE was carried out for a relaxed structure of Ca2TiAg.

Unit cell a=8.415 b=8.415 c=6.364 alpha=90.00 beta=90.00 gamma=90.00
Element x y z (fractional)
Ca (0.217, 0.250, 0.125)
Ca (0.250, 0.717, 0.375)
Ca (0.250, 0.783, 0.875)
Ca (0.283, 0.250, 0.625)
Ca (0.717, 0.750, 0.625)
Ca (0.750, 0.217, 0.875)
Ca (0.750, 0.283, 0.375)
Ca (0.783, 0.750, 0.125)
Ti (0.000, 0.000, 0.500)
Ti (0.000, 0.500, 0.750)
Ti (0.500, 0.000, 0.250)
Ti (0.500, 0.500, 0.000)
Ag (0.000, 0.000, 0.000)
Ag (0.000, 0.500, 0.250)
Ag (0.500, 0.000, 0.750)
Ag (0.500, 0.500, 0.500)

Properties
Total magnetic moment = 2.9 μB/f.u.
Calculated volume = 28.164 Å³/atom

=====

## ii
A plane-wave DFT calculation with GGA-PBE was carried out for a relaxed structure of Ca2TiAg.

Unit cell a=7.570 b=7.570 c=7.570 alpha=90.00 beta=90.00 gamma=90.00
Element x y z (fractional)
Ca (0.250, 0.250, 0.250)
Ca (0.250, 0.250, 0.750)
Ca (0.250, 0.750, 0.250)
Ca (0.250, 0.750, 0.750)
Ca (0.750, 0.250, 0.250)
Ca (0.750, 0.250, 0.750)
Ca (0.750, 0.750, 0.250)
Ca (0.750, 0.750, 0.750)
Ti (0.000, 0.000, 0.000)
Ti (0.000, 0.500, 0.500)
Ti (0.500, 0.000, 0.500)
Ti (0.500, 0.500, 0.000)
Ag (0.000, 0.000, 0.500)
Ag (0.000, 0.500, 0.000)
Ag (0.500, 0.000, 0.000)
Ag (0.500, 0.500, 0.500)

Properties
Total magnetic moment = 3.5 μB/f.u.
Calculated volume = 27.115 Å³/atom

=====

Which of them is most stable, and which least? Most stable: ii; least stable: i.

=====

## i
A plane-wave DFT calculation with GGA-PBE was carried out for a relaxed structure of Ca4Tl2Ag.

Unit cell a=5.705 b=5.705 c=15.567 alpha=90.00 beta=90.00 gamma=90.00
Element x y z (fractional)
Ca (0.000, 0.000, 0.192)
Ca (0.000, 0.000, 0.808)
Ca (0.000, 0.500, 0.000)
Ca (0.000, 0.500, 0.500)
Ca (0.500, 0.000, 0.000)
Ca (0.500, 0.000, 0.500)
Ca (0.500, 0.500, 0.308)
Ca (0.500, 0.500, 0.692)
Tl (0.000, 0.000, 0.392)
Tl (0.000, 0.000, 0.608)
Tl (0.500, 0.500, 0.108)
Tl (0.500, 0.500, 0.892)
Ag (0.000, 0.000, 0.000)
Ag (0.500, 0.500, 0.500)

Properties
Total magnetic moment = 0.0 μB/f.u.
Calculated volume = 36.188 Å³/atom

=====

## ii
A plane-wave DFT calculation with GGA-PBE was carried out for a relaxed structure of Ca4Tl2Ag.

Unit cell a=9.350 b=9.350 c=9.350 alpha=33.37 beta=33.37 gamma=33.37
Element x y z (fractional)
Ca (0.124, 0.124, 0.124)
Ca (0.374, 0.374, 0.374)
Ca (0.626, 0.626, 0.626)
Ca (0.876, 0.876, 0.876)
Tl (0.251, 0.251, 0.251)
Tl (0.749, 0.749, 0.749)
Ag (0.000, 0.000, 0.000)

Properties
Total magnetic moment = 0.0 μB/f.u.
Calculated volume = 31.461 Å³/atom

=====

Which of them is most stable, and which least? Most stable: ii; least stable: i.

=====

## i
A plane-wave DFT calculation with GGA-PBE was carried out for a relaxed structure of Ca2TlAg3.

Unit cell a=9.817 b=9.223 c=6.057 alpha=76.87 beta=66.20 gamma=36.93
Element x y z (fractional)
Ca (0.246, 0.754, 0.754)
Ca (0.250, 0.250, 0.250)
Ca (0.750, 0.750, 0.750)
Ca (0.754, 0.246, 0.246)
Tl (0.333, 0.333, 0.667)
Tl (0.667, 0.667, 0.333)
Ag (0.164, 0.164, 0.836)
Ag (0.165, 0.671, 0.329)
Ag (0.329, 0.835, 0.165)
Ag (0.671, 0.165, 0.835)
Ag (0.835, 0.329, 0.671)
Ag (0.836, 0.836, 0.164)

Properties
Total magnetic moment = 0.0 μB/f.u.
Calculated volume = 24.742 Å³/atom

=====

## ii
A plane-wave DFT calculation with GGA-PBE was carried out for a relaxed structure of Ca2TlAg3.

Unit cell a=4.126 b=4.238 c=18.332 alpha=90.00 beta=90.00 gamma=90.00
Element x y z (fractional)
Ca (0.000, 0.000, 0.000)
Ca (0.000, 0.500, 0.224)
Ca (0.500, 0.000, 0.724)
Ca (0.500, 0.500, 0.500)
Tl (0.000, 0.000, 0.404)
Tl (0.500, 0.500, 0.904)
Ag (0.000, 0.000, 0.561)
Ag (0.000, 0.500, 0.654)
Ag (0.000, 0.500, 0.802)
Ag (0.500, 0.000, 0.154)
Ag (0.500, 0.000, 0.302)
Ag (0.500, 0.500, 0.061)

Properties
Total magnetic moment = 0.0 μB/f.u.
Calculated volume = 26.711 Å³/atom

=====

Which of them is most stable, and which least? Most stable: i; least stable: ii.